No. 1
Computed, not measured: a relaxed structure of La2BiOsC at the GGA-PBE level of DFT.

Structure (POSCAR):
```
La2BiOsC
1.0
5.468 0.000 0.000
0.000 5.468 0.000
0.000 0.000 3.990
C Bi La Os
1 1 2 1
direct
0.000 0.000 0.000
0.500 0.500 0.500
0.500 0.000 0.000
0.000 0.500 0.000
0.000 0.000 0.500
```

## Properties
VASP energy ... -7.21 eV/atom
Energy of formation ... -375 meV per atom

No. 2
Computed, not measured: a relaxed structure of LaPm2BiC at the GGA-PBE level of DFT.

Structure (POSCAR):
```
LaPm2BiC
1.0
-2.416 -3.392 -3.126
3.882 0.271 -3.295
2.309 -3.859 2.403
La Bi Pm C
1 1 2 1
direct
0.500 0.000 0.000
0.500 0.500 0.500
0.000 0.500 0.000
0.000 0.000 0.500
0.000 0.000 0.000
```

## Properties
VASP energy ... -5.98 eV/atom
Energy of formation ... -476 meV per atom

No. 3
Computed, not measured: a relaxed structure of La2PmBiC at the GGA-PBE level of DFT.

Structure (POSCAR):
```
La2PmBiC
1.0
-2.832 4.252 -0.043
-4.341 -2.889 0.148
0.099 0.118 5.214
Bi La Pm C
1 2 1 1
direct
0.500 0.500 0.500
0.000 0.000 0.500
0.000 0.500 0.000
0.500 0.000 0.000
0.000 0.000 0.000
```

## Properties
VASP energy ... -6.03 eV/atom
Energy of formation ... -489 meV per atom